CaHoSbPd | GGA-PBE | relaxed

Calculated values
As for the crystal system: cubic. Its density of states at the Fermi level is 0.327 states/eV per atom. Its uncorrected formation energy is -0.813 eV/atom.

```
CaHoSbPd
1.0
5.1615 0.0000 0.0000
2.5807 4.4700 0.0000
2.5807 1.4900 4.2143
Sb Ca Ho Pd
1 1 1 1
direct
0.5000 0.5000 0.5000 Sb
0.7500 0.7500 0.7500 Ca
0.2500 0.2500 0.2500 Ho
0.0000 0.0000 0.0000 Pd
```

***

Pr6TlAu2 | GGA-PBE | relaxed

Calculated values
As for the crystal system: orthorhombic. Its density of states at the Fermi level is 1.249 states/eV per atom. The formation enthalpy at 0 K comes out at -0.410 eV/atom.

```
Pr6TlAu2
1.0
8.5228 -0.1011 -3.0406
-4.5959 7.3803 -2.5104
-0.0295 0.1011 9.0489
Pr Au Tl
12 4 2
direct
0.1983 0.2417 0.4400 Pr
0.8017 0.7583 0.5600 Pr
0.4623 0.2809 0.1814 Pr
0.8017 0.2417 0.0435 Pr
0.5377 0.7191 0.8186 Pr
0.0995 0.2809 0.8186 Pr
0.7047 0.3783 0.6736 Pr
0.9005 0.7191 0.1814 Pr
0.7047 0.0311 0.3264 Pr
0.2953 0.9689 0.6736 Pr
0.1983 0.7583 0.9565 Pr
0.2953 0.6217 0.3264 Pr
0.3483 0.0000 0.3483 Au
0.6517 0.0000 0.6517 Au
0.5000 0.3699 0.8699 Au
0.5000 0.6301 0.1301 Au
0.0000 0.0000 0.0000 Tl
0.0000 0.5000 0.5000 Tl
```

***

KCa2Y | GGA-PBE | relaxed

Calculated values
As for the crystal system: monoclinic. Its density of states at the Fermi level is 1.326 states/eV per atom. Its energy above the lowest structure with this stoichiometry is 0.54 eV per formula unit. The formation enthalpy at 0 K comes out at 0.288 eV/atom.

```
KCa2Y
1.0
-4.6579 -2.0264 -4.5954
-5.0346 -4.3242 -1.6954
-5.2716 3.8978 2.4036
K Ca Y
1 2 1
direct
0.4987 0.4987 0.4953 K
0.2529 0.2529 0.2444 Ca
0.0036 0.0036 0.9864 Ca
0.7447 0.7447 0.7738 Y
```

***

Li6CrBr8 | GGA-PBE | relaxed

Calculated values
As for the crystal system: cubic. Its density of states at the Fermi level is 0.320 states/eV per atom. Its uncorrected formation energy is -1.335 eV/atom.

```
Li6CrBr8
1.0
6.7485 0.0000 3.8962
2.2495 6.3625 3.8962
0.0000 0.0000 7.7925
Li Br Cr
6 8 1
direct
0.0000 0.0000 0.5000 Li
0.0000 0.5000 0.5000 Li
0.0000 0.5000 0.0000 Li
0.5000 0.5000 0.0000 Li
0.5000 0.0000 0.5000 Li
0.5000 0.0000 0.0000 Li
0.7579 0.2421 0.2421 Br
0.7579 0.2421 0.7579 Br
0.2421 0.7579 0.7579 Br
0.2500 0.2500 0.2500 Br
0.7579 0.7579 0.2421 Br
0.2421 0.2421 0.7579 Br
0.7500 0.7500 0.7500 Br
0.2421 0.7579 0.2421 Br
0.0000 0.0000 0.0000 Cr
```

***

TiCoIrRh | GGA-PBE | relaxed

Calculated values
As for the crystal system: orthorhombic. Its density of states at the Fermi level is 1.285 states/eV per atom. Its energy above the lowest structure with this stoichiometry is 0.00 eV per formula unit. The formation enthalpy at 0 K comes out at -0.533 eV/atom.

```
TiCoIrRh
1.0
3.6839 0.0000 0.0000
0.0000 3.8209 0.0000
0.0000 0.0000 3.8400
Ti Ir Co Rh
1 1 1 1
direct
0.5000 0.0000 0.5000 Ti
0.0000 0.0000 0.0000 Ir
0.5000 0.5000 0.0000 Co
0.0000 0.5000 0.5000 Rh
```

***

Er2ThSi | GGA-PBE | relaxed

Calculated values
As for the crystal system: trigonal. Its density of states at the Fermi level is 1.212 states/eV per atom. Its uncorrected formation energy is -0.141 eV/atom.

```
Er2ThSi
1.0
-1.7265 0.0804 -3.1495
-3.4862 -0.8531 -0.1597
-4.1071 9.1376 0.4356
Th Er Si
1 2 1
direct
0.5000 0.5000 0.5000 Th
0.7338 0.7338 0.7985 Er
0.2662 0.2662 0.2015 Er
0.0000 0.0000 0.0000 Si
```

***

V4ZnOs5 | GGA-PBE | relaxed

Calculated values
As for the crystal system: tetragonal. Its density of states at the Fermi level is 0.632 states/eV per atom. The formation enthalpy at 0 K comes out at -0.215 eV/atom.

```
V4ZnOs5
1.0
-2.8354 0.8799 -0.5746
0.5115 -0.2887 -2.9663
-4.5996 -14.4232 0.6104
Os Zn V
5 1 4
direct
0.5000 0.5000 0.1072 Os
0.5000 0.5000 0.5000 Os
0.5000 0.5000 0.8928 Os
0.5000 0.5000 0.6976 Os
0.5000 0.5000 0.3024 Os
0.0000 0.0000 0.0000 Zn
0.0000 0.0000 0.6008 V
0.0000 0.0000 0.1954 V
0.0000 0.0000 0.3992 V
0.0000 0.0000 0.8046 V
```

***

ScMoIN2 | GGA-PBE | relaxed

Calculated values
As for the crystal system: tetragonal. Its density of states at the Fermi level is 0.718 states/eV per atom. Its energy above the lowest structure with this stoichiometry is 0.00 eV per formula unit. Its uncorrected formation energy is 0.382 eV/atom.

```
ScMoIN2
1.0
-0.6470 1.8123 3.5267
-0.3744 -3.5853 1.7737
5.3989 -0.0588 1.0208
Sc N I Mo
1 2 1 1
direct
0.5000 0.5000 0.5000 Sc
0.0000 0.5000 0.0000 N
0.5000 0.0000 0.0000 N
0.0000 0.0000 0.5000 I
0.0000 0.0000 0.0000 Mo
```

***

no.,total moment (μB/atom)
1,0.000
2,0.000
3,0.000
4,0.267
5,0.054
6,0.000
7,0.000
8,0.000